1.
The following is a PBE-GGA calculation of YTcP2O after structural relaxation, from Alexandria.

Cell: 5.3281 5.3281 4.1182 Å, 90.00 90.00 90.00°
Last column: nearest neighbours and their distance in Å.
Fractional coordinates of all 5 atoms:
O (0.0000, 0.0000, 0.5000)  2 Y 2.06
P (0.5000, 0.0000, 0.0000)  2 Y 2.66
Y (0.0000, 0.0000, 0.0000)  2 O 2.06
Tc (0.5000, 0.5000, 0.5000)  8 P 3.37, 4 O 3.77
P (0.0000, 0.5000, 0.0000)  2 Y 2.66

Excess energy over the best structure of this formula in the dataset (kJ/mol of formula units): 580
D(E_F) (states/eV per cell): 3.26

2.
The following is a PBE-GGA calculation of YTcP2O after structural relaxation, from Alexandria.

Cell: 4.8524 4.8524 3.7385 Å, 90.00 90.00 90.00°
Last column: nearest neighbours and their distance in Å.
Fractional coordinates of all 5 atoms:
Y (0.5000, 0.5000, 0.5000)  8 P 3.06
O (0.0000, 0.0000, 0.5000)  2 Tc 1.87
P (0.0000, 0.5000, 0.0000)  2 Tc 2.43
Tc (0.0000, 0.0000, 0.0000)  2 O 1.87
P (0.5000, 0.0000, 0.0000)  2 Tc 2.43

Excess energy over the best structure of this formula in the dataset (kJ/mol of formula units): 0
D(E_F) (states/eV per cell): 3.36

3.
The following is a PBE-GGA calculation of ZnTcPO after structural relaxation, from Alexandria.

Cell: 3.0745 3.0745 19.7337 Å, 90.00 90.00 120.00°
Last column: nearest neighbours and their distance in Å.
Fractional coordinates of all 12 atoms:
Zn (0.0000, 0.0000, 0.3409)  3 O 2.26
O (0.3333, 0.6667, 0.7450)  1 P 1.59
P (0.3333, 0.6667, 0.8255)  1 O 1.59
P (0.0000, 0.0000, 0.1588)  1 O 1.59
O (0.6667, 0.3333, 0.4116)  1 P 1.59
Zn (0.6667, 0.3333, 0.6743)  3 O 2.26
O (0.0000, 0.0000, 0.0783)  1 P 1.59
Zn (0.3333, 0.6667, 0.0076)  3 O 2.26
Tc (0.3333, 0.6667, 0.2316)  3 P 2.28
Tc (0.0000, 0.0000, 0.5649)  3 P 2.28
P (0.6667, 0.3333, 0.4922)  1 O 1.59
Tc (0.6667, 0.3333, 0.8982)  3 P 2.28

Excess energy over the best structure of this formula in the dataset (kJ/mol of formula units): 2
D(E_F) (states/eV per cell): 4.80